! MgNiF2 | Alexandria via LeMat-Bulk | GGA+U | relaxed; values from VASP
! * space-group type: R-3m, No. 166
! * Fermi-level density of states: 0.33 states/eV/cell
! * size of the total moment: 0.2608 μB per atom
! * offset from the most stable computed form: 0.000 eV/atom
&SYSTEM
  ibrav = 0, nat = 4, ntyp = 3
/
ATOMIC_SPECIES
F 19.00 F.upf
Mg 24.30 Mg.upf
Ni 58.69 Ni.upf
ATOMIC_POSITIONS crystal
F 0.876 0.876 0.876
F 0.124 0.124 0.124
Mg 0.500 0.500 0.500
Ni 0.000 0.000 0.000
CELL_PARAMETERS angstrom
1.722 0.000 7.619
-0.861 1.491 7.619
-0.861 -1.491 7.619